! Mg2Fe3O8, optimized geometry, DFT PBE+U; values from VASP
! polymorph energy (0 for the lowest one) = 0.008 eV/atom
! total magnetization = 0.460 μB/atom
! space group = P6_3mc, No. 186
&SYSTEM
  ibrav = 0, nat = 26, ntyp = 3
/
ATOMIC_SPECIES
O 16.00 O.upf
Fe 55.84 Fe.upf
Mg 24.30 Mg.upf
ATOMIC_POSITIONS crystal
O 0.8406 0.6811 0.1454
O 0.0000 0.0000 0.3534
O 0.9628 0.4814 0.8627
O 0.6811 0.8406 0.6454
O 0.4814 0.9628 0.3627
O 0.0000 0.0000 0.8534
O 0.3333 0.6667 0.1356
O 0.3189 0.1594 0.1454
O 0.4814 0.5186 0.3627
O 0.6667 0.3333 0.6356
O 0.5186 0.4814 0.8627
O 0.0372 0.5186 0.3627
O 0.1594 0.8406 0.6454
O 0.5186 0.0372 0.8627
O 0.8406 0.1594 0.1454
O 0.1594 0.3189 0.6454
Fe 0.6711 0.8356 0.2454
Fe 0.1644 0.3289 0.2454
Fe 0.3289 0.1644 0.7454
Fe 0.8356 0.1644 0.7454
Fe 0.8356 0.6711 0.7454
Fe 0.1644 0.8356 0.2454
Mg 0.3333 0.6667 0.9202
Mg 0.3333 0.6667 0.5239
Mg 0.6667 0.3333 0.0239
Mg 0.6667 0.3333 0.4202
CELL_PARAMETERS angstrom
2.9025 -5.0273 0.0000
2.9025 5.0273 0.0000
0.0000 0.0000 9.3365